# Cs2HPd, optimized geometry, DFT PBE-GGA
data_Cs2HPd
_space_group_name_H-M_alt 'P 1'
_space_group_IT_number 1
_cell_length_a 9.412
_cell_length_b 3.742
_cell_length_c 9.486
_cell_angle_alpha 90.00
_cell_angle_beta 104.47
_cell_angle_gamma 90.00
loop_
_space_group_symop_operation_xyz
'x,y,z'
loop_
_atom_site_label
_atom_site_type_symbol
_atom_site_fract_x
_atom_site_fract_y
_atom_site_fract_z
Cs1 Cs 0.053 0.250 0.229
Cs2 Cs 0.437 0.750 0.771
Cs3 Cs 0.563 0.250 0.229
Cs4 Cs 0.947 0.750 0.771
H1 H 0.247 0.750 0.988
H2 H 0.753 0.250 0.012
Pd1 Pd 0.246 0.250 0.983
Pd2 Pd 0.754 0.750 0.017
# SG: No. 11
# Raw total energy (eV/atom): -2.601

=====

# Cs2HPd, optimized geometry, DFT PBE-GGA
data_Cs2HPd
_space_group_name_H-M_alt 'P 1'
_space_group_IT_number 1
_cell_length_a 7.468
_cell_length_b 7.468
_cell_length_c 7.468
_cell_angle_alpha 113.98
_cell_angle_beta 113.98
_cell_angle_gamma 100.79
loop_
_space_group_symop_operation_xyz
'x,y,z'
loop_
_atom_site_label
_atom_site_type_symbol
_atom_site_fract_x
_atom_site_fract_y
_atom_site_fract_z
Cs1 Cs 0.086 0.125 0.461
Cs2 Cs 0.375 0.914 0.039
Cs3 Cs 0.664 0.625 0.539
Cs4 Cs 0.875 0.336 0.961
H1 H 0.000 0.000 0.000
H2 H 0.750 0.250 0.500
Pd1 Pd 0.250 0.750 0.500
Pd2 Pd 0.500 0.500 0.000
# SG: No. 122
# Raw total energy (eV/atom): -2.280